This record from Alexandria via LeMat-Bulk describes an optimized crystal structure of LaTlOs3. The functional is PBE.

## Properties
ΔE_f = 13.4 eV per formula unit
Density = 12.130 g cm⁻³
E_tot = -5.513 eV/atom
Magnetization = 4.0 Bohr magnetons per cell

Cell: 5.0016 5.0016 5.0016 Å, 90.00 90.00 90.00°
Positions (direct):
Tl  0.5000  0.5000  0.5000
Os  0.0000  0.5000  0.0000
Os  0.0000  0.0000  0.5000
Os  0.5000  0.0000  0.0000
La  0.0000  0.0000  0.0000